# 1
## NdTiAu2 (PBE)

Data for an optimized crystal structure of NdTiAu2.

```
NdTiAu2
1.0
-0.561 -4.151 1.857
-1.751 -3.413 -2.505
3.845 -3.806 -1.692
Nd Au Ti
1 2 1
direct
0.000 0.000 0.000
0.788 0.788 0.635
0.212 0.212 0.365
0.500 0.500 0.500
```

Summary:
The value obtained for the total energy is -5.309 eV per atom. The crystal system is trigonal. The formation energy comes out at -48.65 kJ per mole of atoms. The relative energy among the computed polymorphs comes out at 0.000 eV per atom.

# 2
## HfGaFe2 (PBE)

Data for an optimized crystal structure of HfGaFe2.

```
HfGaFe2
1.0
-3.069 -0.280 0.066
0.237 -2.861 -1.124
0.307 -2.100 5.412
Hf Fe Ga
1 2 1
direct
0.500 0.500 0.000
0.000 0.000 0.729
0.000 0.000 0.271
0.500 0.500 0.500
```

Summary:
The value obtained for the total energy is -7.686 eV per atom. The crystal system is tetragonal. The formation energy comes out at -20.19 kJ per mole of atoms.

# 3
## AcPr3Nd2 (PBE)

Data for an optimized crystal structure of AcPr3Nd2.

```
AcPr3Nd2
1.0
3.586 0.000 0.000
0.000 6.341 0.000
-1.793 -3.171 10.026
Ac Pr Nd
1 3 2
direct
0.000 0.000 0.000
0.000 0.500 0.000
0.810 0.810 0.619
0.190 0.190 0.381
0.640 0.640 0.279
0.360 0.360 0.721
```

Summary:
The value obtained for the total energy is -4.342 eV per atom. The crystal system is orthorhombic. The formation energy comes out at 31.06 kJ per mole of atoms. The relative energy among the computed polymorphs comes out at 0.171 eV per atom.

# 4
## Li2In5Hg4 (PBE)

Data for an optimized crystal structure of Li2In5Hg4.

```
Li2In5Hg4
1.0
3.469 0.000 -0.846
-0.446 7.320 -1.830
0.674 0.563 10.298
Li In Hg
2 5 4
direct
0.421 0.351 0.841
0.579 0.649 0.159
0.821 0.555 0.643
0.179 0.445 0.357
0.868 0.993 0.735
0.500 0.000 0.000
0.132 0.007 0.265
0.281 0.198 0.561
0.969 0.664 0.937
0.719 0.802 0.439
0.031 0.336 0.063
```

Summary:
The value obtained for the total energy is -1.803 eV per atom. The crystal system is monoclinic. The formation energy comes out at -9.70 kJ per mole of atoms.